HoCu2SiNi2 GGA-PBE relaxed; space group = No. 123; total DFT energy (no corrections) = -5.04 eV per atom
1.0
-1.462 2.539 3.040
1.795 -2.463 2.921
4.551 2.971 -0.292
Cu Ni Si Ho
2 2 1 1
direct
0.500 0.500 0.266 Cu
0.500 0.500 0.734 Cu
0.500 0.000 0.000 Ni
0.000 0.500 0.000 Ni
0.000 0.000 0.000 Si
0.000 0.000 0.500 Ho